The following is a DFT calculation (PBE) of crystalline ErSi4Ni2 at its relaxed geometry.

Properties
uncorrected formation energy	-0.4943	eV per atom
calculated volume	14.733	Å³/atom

Lattice parameters (Å, degrees): 16.717 3.897 6.332 90.00 90.00 90.00
Space group Pnma (No. 62)
Unique sites:
Er1 0.139 0.250 0.041 x4
Si1 0.021 0.750 0.129 x4
Si2 0.064 0.250 0.523 x4
Si3 0.181 0.750 0.705 x4
Si4 0.209 0.750 0.302 x4
Ni1 0.039 0.750 0.746 x4
Ni2 0.209 0.250 0.495 x4

=====

The following is a DFT calculation (PBE) of crystalline FeSnRh2 at its relaxed geometry.

Properties
calculated volume	15.353	Å³/atom

Lattice parameters (Å, degrees): 3.231 3.231 5.881 90.00 90.00 90.00
Space group P4/mmm (No. 123)
Unique sites:
Fe1 0.000 0.000 0.000 x1
Sn1 0.000 0.000 0.500 x1
Rh1 0.500 0.500 0.238 x2

=====

The following is a DFT calculation (PBE) of crystalline KRb2AgO at its relaxed geometry.

Properties
energy above the most stable polymorph in this dataset	0.63	eV per formula unit
uncorrected formation energy	-0.4258	eV per atom
calculated volume	36.170	Å³/atom

Lattice parameters (Å, degrees): 4.267 19.509 8.690 90.00 90.00 90.00
Space group Cmcm (No. 63)
Unique sites:
K1 0.000 0.009 0.250 x4
Rb1 0.000 0.368 0.009 x8
Ag1 0.000 0.219 0.250 x4
O1 0.000 0.500 0.000 x4

=====

The following is a DFT calculation (PBE) of crystalline HfAgHg2 at its relaxed geometry.

Properties
calculated volume	20.812	Å³/atom

Lattice parameters (Å, degrees): 4.460 4.460 4.185 90.00 90.00 90.00
Space group P4/mmm (No. 123)
Unique sites:
Hf1 0.000 0.000 0.000 x1
Ag1 0.500 0.500 0.000 x1
Hg1 0.000 0.500 0.500 x2

=====

The following is a DFT calculation (PBE) of crystalline Ho8CuIr2 at its relaxed geometry.

Properties
calculated volume	26.747	Å³/atom

Lattice parameters (Å, degrees): 8.430 12.451 5.856 90.00 106.79 90.00
Space group Cm (No. 8)
Unique sites:
Ho1 0.000 0.000 0.000 x2
Ho2 0.072 0.368 0.788 x4
Ho3 0.161 0.132 0.582 x4
Ho4 0.231 0.500 0.381 x2
Ho5 0.363 0.226 0.191 x4
Cu1 0.365 0.000 0.346 x2
Ir1 0.367 0.313 0.688 x4

=====

The following is a DFT calculation (PBE) of crystalline Nd2Sm6Dy3Tm at its relaxed geometry.

Properties
calculated volume	33.070	Å³/atom

Lattice parameters (Å, degrees): 6.245 10.812 11.937 90.00 100.03 90.00
Space group C2/m (No. 12)
Unique sites:
Nd1 0.000 0.167 0.000 x4
Sm1 0.248 0.500 0.747 x4
Sm2 0.250 0.166 0.748 x8
Dy1 0.000 0.000 0.500 x2
Dy2 0.000 0.334 0.500 x4
Tm1 0.000 0.500 0.000 x2

=====

The following is a DFT calculation (PBE) of crystalline YAl2SnI at its relaxed geometry.

Properties
uncorrected formation energy	0.6479	eV per atom
calculated volume	37.398	Å³/atom

Lattice parameters (Å, degrees): 5.717 5.717 5.721 90.00 90.00 90.00
Space group P4/mmm (No. 123)
Unique sites:
Y1 0.000 0.000 0.000 x1
Al1 0.000 0.500 0.000 x2
Sn1 0.500 0.500 0.500 x1
I1 0.000 0.000 0.500 x1

=====

The following is a DFT calculation (PBE) of crystalline YMg2BSe at its relaxed geometry.

Properties
uncorrected formation energy	0.5487	eV per atom
calculated volume	24.864	Å³/atom

Lattice parameters (Å, degrees): 4.811 4.811 5.371 90.00 90.00 90.00
Space group P4/mmm (No. 123)
Unique sites:
Y1 0.000 0.000 0.000 x1
Mg1 0.000 0.500 0.500 x2
B1 0.500 0.500 0.000 x1
Se1 0.000 0.000 0.500 x1

=====

The following is a DFT calculation (PBE) of crystalline CuHg2Os at its relaxed geometry.

Properties
energy above the most stable polymorph in this dataset	1.66	eV per formula unit
calculated volume	19.016	Å³/atom

Lattice parameters (Å, degrees): 3.984 3.984 19.173 90.00 90.00 90.00
Space group I-42d (No. 122)
Unique sites:
Cu1 0.000 0.000 0.000 x4
Hg1 0.250 0.250 0.125 x8
Os1 0.000 0.000 0.500 x4

=====

The following is a DFT calculation (PBE) of crystalline PWS2I at its relaxed geometry.

Properties
energy above the most stable polymorph in this dataset	0.00	eV per formula unit
uncorrected formation energy	0.2539	eV per atom
calculated volume	21.819	Å³/atom

Lattice parameters (Å, degrees): 4.607 4.607 5.141 90.00 90.00 90.00
Space group P4/mmm (No. 123)
Unique sites:
P1 0.000 0.000 0.000 x1
W1 0.000 0.000 0.500 x1
S1 0.000 0.500 0.500 x2
I1 0.500 0.500 0.000 x1

=====

The following is a DFT calculation (PBE) of crystalline SmYTe at its relaxed geometry.

Properties
energy above the most stable polymorph in this dataset	0.92	eV per formula unit
uncorrected formation energy	-0.5115	eV per atom
calculated volume	31.622	Å³/atom

Lattice parameters (Å, degrees): 5.1840 5.1840 4.0761 90.00 90.00 120.00
Space group P3m1 (No. 156)
Unique sites:
Sm1 0.0000 0.0000 0.0000 x1
Y1 0.6667 0.3333 0.4844 x1
Te1 0.3333 0.6667 0.2908 x1

=====

The following is a DFT calculation (PBE) of crystalline Tl2GaB at its relaxed geometry.

Properties
energy above the most stable polymorph in this dataset	0.66	eV per formula unit
calculated volume	22.111	Å³/atom

Lattice parameters (Å, degrees): 7.073 7.073 7.073 90.00 90.00 90.00
Space group Fm-3m (No. 225)
Unique sites:
Tl1 0.250 0.250 0.250 x8
Ga1 0.000 0.000 0.000 x4
B1 0.000 0.000 0.500 x4

=====

Let's list final energy in order: -5.897, -6.985, -2.594, -3.245, -5.654, -4.662, -3.253, -3.414, -2.971, -5.380, -5.286, -2.626 eV/atom.